This record from the Alexandria database describes a PBEsol-optimized structure of SrLiAs. The functional is meta-GGA SCAN.

a = 7.549 Å, b = 4.483 Å, c = 8.003 Å
α = 90.00°, β = 90.00°, γ = 90.00°
Space group Pnma (No. 62)
Inequivalent atoms, fractional coordinates:
Sr: 0.007 0.250 0.203
Li: 0.153 0.250 0.571
As: 0.222 0.750 0.404

Values from the calculation:
E_form, eV/atom: -1.165
DFT total energy, eV per atom: -16.117
Magnetization, μB/f.u.: 0.0

This record from the Alexandria database describes a PBEsol-optimized structure of LiSbPt2. The functional is meta-GGA SCAN.

a = 4.009 Å, b = 4.009 Å, c = 7.753 Å
α = 90.00°, β = 90.00°, γ = 90.00°
Space group I4/mmm (No. 139)
Inequivalent atoms, fractional coordinates:
Li: 0.000 0.000 0.000
Sb: 0.000 0.000 0.500
Pt: 0.000 0.500 0.250

Values from the calculation:
DFT total energy, eV per atom: -45.587
Magnetization, μB/f.u.: 0.0
Raw formation energy, kJ per mole of atoms: -55.77

This record from the Alexandria database describes a PBEsol-optimized structure of NiHgSe2Br. The functional is meta-GGA SCAN.

a = 5.159 Å, b = 5.159 Å, c = 5.293 Å
α = 90.00°, β = 90.00°, γ = 90.00°
Space group P4/mmm (No. 123)
Inequivalent atoms, fractional coordinates:
Ni: 0.000 0.000 0.000
Hg: 0.500 0.500 0.500
Se: 0.000 0.500 0.500
Br: 0.500 0.500 0.000

Values from the calculation:
DFT total energy, eV per atom: -27.788
Magnetization, μB/f.u.: 1.8
Raw formation energy, kJ per mole of atoms: 96.83

This record from the Alexandria database describes a PBEsol-optimized structure of Y4MgAl. The functional is meta-GGA SCAN.

a = 8.767 Å, b = 8.767 Å, c = 8.767 Å
α = 90.00°, β = 90.00°, γ = 90.00°
Space group F-43m (No. 216)
Inequivalent atoms, fractional coordinates:
Y: 0.124 0.124 0.376
Mg: 0.000 0.000 0.000
Al: 0.250 0.250 0.750

Values from the calculation:
E_form, eV/atom: 0.362
DFT total energy, eV per atom: -20.321
Magnetization, μB/f.u.: 0.0

This record from the Alexandria database describes a PBEsol-optimized structure of Rb2NaPd. The functional is meta-GGA SCAN.

a = 11.910 Å, b = 11.910 Å, c = 5.619 Å
α = 90.00°, β = 90.00°, γ = 90.00°
Space group I-42d (No. 122)
Inequivalent atoms, fractional coordinates:
Rb: 0.094 0.750 0.125
Na: 0.000 0.000 0.500
Pd: 0.000 0.000 0.000

Values from the calculation:
E_form, eV/atom: 0.148
DFT total energy, eV per atom: -19.469
Magnetization, μB/f.u.: 0.0

This record from the Alexandria database describes a PBEsol-optimized structure of TaPtAu. The functional is meta-GGA SCAN.

a = 2.868 Å, b = 3.987 Å, c = 8.437 Å
α = 90.00°, β = 90.00°, γ = 90.00°
Space group Imm2 (No. 44)
Inequivalent atoms, fractional coordinates:
Ta: 0.000 0.000 0.000
Pt: 0.000 0.000 0.340
Au: 0.000 0.000 0.668

Values from the calculation:
E_form, eV/atom: -0.553
DFT total energy, eV per atom: -69.198
Magnetization, μB/f.u.: 0.0

This record from the Alexandria database describes a PBEsol-optimized structure of KReHg2. The functional is meta-GGA SCAN.

a = 5.251 Å, b = 5.251 Å, c = 2.870 Å
α = 90.00°, β = 90.00°, γ = 90.00°
Space group P4/mmm (No. 123)
Inequivalent atoms, fractional coordinates:
K: 0.000 0.000 0.000
Re: 0.500 0.500 0.000
Hg: 0.000 0.500 0.500

Values from the calculation:
E_form, eV/atom: 0.684
DFT total energy, eV per atom: -53.256
Magnetization, μB/f.u.: 0.0

This record from the Alexandria database describes a PBEsol-optimized structure of CaMg2Tc. The functional is meta-GGA SCAN.

a = 2.870 Å, b = 4.738 Å, c = 6.115 Å
α = 90.00°, β = 102.55°, γ = 90.00°
Space group Pm (No. 6)
Inequivalent atoms, fractional coordinates:
Ca: 0.000 0.000 0.000
Mg: 0.382 0.000 0.538
Mg: 0.707 0.500 0.326
Tc: 0.334 0.500 0.767

Values from the calculation:
E_form, eV/atom: 0.385
DFT total energy, eV per atom: -13.283
Magnetization, μB/f.u.: 0.1